# 1
# TlAu

A geometry-optimized TlAu structure (GGA-PBE, OQMD via LeMat-Bulk).

Output
**Crystal system**: cubic
**E**: -2.792 eV/atom

Cell lengths 4.1431, 4.1431, 4.1431 Å; angles 60.00, 60.00, 60.00 degrees
Positions (direct):
Tl 0.0000 0.0000 0.0000
Au 0.5000 0.5000 0.5000

***

# 2
# Sm2Y2CIBr2Cl2

A geometry-optimized Sm2Y2CIBr2Cl2 structure (GGA-PBE, OQMD via LeMat-Bulk).

Output
**Crystal system**: monoclinic
**Distance to the lowest polymorph of the same formula**: 1 meV per atom

Cell lengths 9.0781, 9.0781, 8.6855 Å; angles 102.84, 102.84, 24.80 degrees
Positions (direct):
Sm 0.0005 0.0005 0.1954
Sm 0.9995 0.9995 0.8046
Y 0.3608 0.3608 0.9310
Y 0.6392 0.6392 0.0690
C 0.5000 0.5000 0.0000
I 0.5000 0.5000 0.5000
Br 0.1731 0.1731 0.8443
Br 0.8269 0.8269 0.1557
Cl 0.1636 0.1636 0.2953
Cl 0.8364 0.8364 0.7047

***

# 3
# Li4ZrTcO6

A geometry-optimized Li4ZrTcO6 structure (GGA-PBE, OQMD via LeMat-Bulk).

Output
**Crystal system**: monoclinic
**E**: -6.875 eV/atom

Cell lengths 5.2173, 5.2173, 5.1874 Å; angles 99.61, 99.61, 119.97 degrees
Positions (direct):
Li 0.0000 0.0000 0.0000
Li 0.1604 0.8396 0.5000
Li 0.4881 0.5119 0.5000
Li 0.8477 0.1523 0.5000
Zr 0.6670 0.3330 0.0000
Tc 0.3325 0.6675 0.0000
O 0.0892 0.4267 0.2381
O 0.2576 0.2674 0.7584
O 0.4172 0.0691 0.2404
O 0.5733 0.9108 0.7619
O 0.7326 0.7424 0.2416
O 0.9309 0.5828 0.7596

***

# 4
# PmInAu

A geometry-optimized PmInAu structure (GGA-PBE, OQMD via LeMat-Bulk).

Output
**Crystal system**: cubic
**E**: -3.750 eV/atom

Cell lengths 4.9958, 4.9958, 4.9958 Å; angles 60.00, 60.00, 60.00 degrees
Positions (direct):
Pm 0.0000 0.0000 0.0000
In 0.2500 0.2500 0.2500
Au 0.7500 0.7500 0.7500

***

# 5
# CsBiPt

A geometry-optimized CsBiPt structure (GGA-PBE, OQMD via LeMat-Bulk).

Output
**Crystal system**: cubic
**Distance to the lowest polymorph of the same formula**: 827 meV per atom

Cell lengths 5.4322, 5.4322, 5.4322 Å; angles 60.00, 60.00, 60.00 degrees
Positions (direct):
Cs 0.0000 0.0000 0.0000
Bi 0.7500 0.7500 0.7500
Pt 0.2500 0.2500 0.2500

***

# 6
# DyTm2NiSn3Pt2

A geometry-optimized DyTm2NiSn3Pt2 structure (GGA-PBE, OQMD via LeMat-Bulk).

Output
**Crystal system**: orthorhombic
**E**: -5.789 eV/atom

Cell lengths 3.8886, 7.4858, 7.4858 Å; angles 120.19, 90.00, 90.00 degrees
Positions (direct):
Dy 0.0000 0.0000 0.0000
Tm 0.0000 0.1900 0.5947
Tm 0.0000 0.5947 0.1900
Ni 0.0000 0.5932 0.5932
Sn 0.5000 0.3453 0.3453
Sn 0.5000 0.5940 0.8439
Sn 0.5000 0.8439 0.5940
Pt 0.5000 0.2636 0.9273
Pt 0.5000 0.9273 0.2636

***

# 7
# TmTlInTe3

A geometry-optimized TmTlInTe3 structure (GGA-PBE, OQMD via LeMat-Bulk).

Output
**Crystal system**: orthorhombic
**Distance to the lowest polymorph of the same formula**: 84 meV per atom

Cell lengths 7.9947, 7.9947, 11.5854 Å; angles 90.00, 90.00, 147.59 degrees
Positions (direct):
Tm 0.0000 0.0000 0.0000
Tm 0.0000 0.0000 0.5000
Tl 0.2385 0.7615 0.7500
Tl 0.7615 0.2385 0.2500
In 0.4562 0.5438 0.2500
In 0.5438 0.4562 0.7500
Te 0.0830 0.9170 0.2500
Te 0.3623 0.6377 0.0315
Te 0.3623 0.6377 0.4685
Te 0.6377 0.3623 0.5315
Te 0.6377 0.3623 0.9685
Te 0.9170 0.0830 0.7500

***

# 8
# PaPdW

A geometry-optimized PaPdW structure (GGA-PBE, OQMD via LeMat-Bulk).

Output
**Crystal system**: cubic
**Distance to the lowest polymorph of the same formula**: 306 meV per atom
**E_form**: 0.8574 eV/atom

Cell lengths 4.5488, 4.5488, 4.5488 Å; angles 60.00, 60.00, 60.00 degrees
Positions (direct):
Pa 0.0000 0.0000 0.0000
Pd 0.7500 0.7500 0.7500
W 0.2500 0.2500 0.2500